First-principles (PBE) data for a relaxed RbSiN crystal, as listed in Alexandria via LeMat-Bulk.

abc: 4.043 4.346 11.225
angles: 89.55 89.45 62.27
Fractional coordinates of all 6 atoms:
Si (0.654, 0.563, 0.717)
Si (0.958, 0.955, 0.717)
Rb (0.464, 0.958, 0.456)
Rb (0.453, 0.952, 0.977)
N (0.807, 0.263, 0.598)
N (0.802, 0.261, 0.835)

Computed properties:
Uncorrected energy, eV per cell: -31.1

=====

First-principles (PBE) data for a relaxed MgTl2In crystal, as listed in Alexandria via LeMat-Bulk.

abc: 5.405 5.405 5.405
angles: 60.00 60.00 60.00
Fractional coordinates of all 4 atoms:
Tl (0.000, 0.000, 0.000)
Tl (0.250, 0.250, 0.250)
Mg (0.750, 0.750, 0.750)
In (0.500, 0.500, 0.500)

Computed properties:
Energy of formation, eV/atom: 0.07
Uncorrected energy, eV per cell: -8.8

=====

- Among the records above, which one has the highest uncorrected energy?
  MgTl2In

=====

- Among the records above, which one has the lowest uncorrected energy?
  RbSiN